[1]
An optimized crystal structure of Mg6CdAg3. Source: Alexandria, functional GGA-PBE.

Cell: 8.5439 4.6980 10.1086 Å, 90.00 103.12 90.00°
Closest atoms and distances in Å follow each position.
Element x y z (fractional)
Mg (0.0425, 0.2500, 0.4056)  7 Ag 2.85-3.04, 1 Mg 3.07
Mg (0.1344, 0.7500, 0.1896)  5 Ag 2.79-2.95, 2 Mg 3.01, 1 Cd 3.02
Mg (0.2312, 0.2500, 0.9848)  4 Ag 2.86-2.90, 3 Cd 3.05-3.06, 1 Mg 3.05
Mg (0.3241, 0.7500, 0.7862)  4 Ag 2.86-3.00, 1 Mg 3.08, 3 Cd 3.09-3.11
Mg (0.3483, 0.2500, 0.2936)  8 Mg 2.98-3.08, 2 Ag 3.22, 2 Cd 3.29
Mg (0.4304, 0.2500, 0.5964)  4 Ag 2.87-2.94, 3 Mg 2.98-3.06, 1 Cd 3.00
Mg (0.5696, 0.7500, 0.4036)  4 Ag 2.87-2.94, 3 Mg 2.98-3.06, 1 Cd 3.00
Mg (0.6517, 0.7500, 0.7064)  8 Mg 2.98-3.08, 2 Ag 3.22, 2 Cd 3.29
Mg (0.6759, 0.2500, 0.2138)  4 Ag 2.86-3.00, 1 Mg 3.08, 3 Cd 3.09-3.11
Mg (0.7688, 0.7500, 0.0152)  4 Ag 2.86-2.90, 3 Cd 3.05-3.06, 1 Mg 3.05
Mg (0.8656, 0.2500, 0.8104)  5 Ag 2.79-2.95, 2 Mg 3.01, 1 Cd 3.02
Mg (0.9575, 0.7500, 0.5944)  7 Ag 2.85-3.04, 1 Mg 3.07
Cd (0.4491, 0.7500, 0.1006)  10 Mg 3.00-3.29, 2 Cd 3.35
Cd (0.5509, 0.2500, 0.8994)  10 Mg 3.00-3.29, 2 Cd 3.35
Ag (0.0383, 0.7500, 0.8904)  8 Mg 2.79-2.95
Ag (0.1393, 0.2500, 0.6948)  8 Mg 2.84-2.88
Ag (0.2580, 0.7500, 0.4816)  8 Mg 2.87-3.04
Ag (0.7420, 0.2500, 0.5184)  8 Mg 2.87-3.04
Ag (0.8607, 0.7500, 0.3052)  8 Mg 2.84-2.88
Ag (0.9617, 0.2500, 0.1096)  8 Mg 2.79-2.95

[2]
An optimized crystal structure of MgCd3Ag3. Source: Alexandria, functional GGA-PBE.

Cell: 8.0309 8.0309 4.9079 Å, 90.00 90.00 120.00°
Closest atoms and distances in Å follow each position.
Element x y z (fractional)
Mg (0.3333, 0.6667, 0.2500)  9 Cd 3.03-3.04, 3 Ag 3.05
Mg (0.6667, 0.3333, 0.7500)  9 Cd 3.03-3.04, 3 Ag 3.05
Cd (0.0918, 0.4656, 0.7500)  5 Ag 2.96-3.11, 3 Mg 3.03-3.04, 4 Cd 3.05-3.12
Cd (0.3738, 0.9082, 0.7500)  5 Ag 2.96-3.11, 3 Mg 3.03-3.04, 4 Cd 3.05-3.12
Cd (0.4656, 0.3738, 0.2500)  5 Ag 2.96-3.11, 3 Mg 3.03-3.04, 4 Cd 3.05-3.12
Cd (0.5344, 0.6262, 0.7500)  5 Ag 2.96-3.11, 3 Mg 3.03-3.04, 4 Cd 3.05-3.12
Cd (0.6262, 0.0918, 0.2500)  5 Ag 2.96-3.11, 3 Mg 3.03-3.04, 4 Cd 3.05-3.12
Cd (0.9082, 0.5344, 0.2500)  5 Ag 2.96-3.11, 3 Mg 3.03-3.04, 4 Cd 3.05-3.12
Ag (0.0473, 0.2358, 0.2500)  5 Cd 2.96-3.11, 6 Ag 3.00-3.01, 1 Mg 3.05
Ag (0.1885, 0.9527, 0.2500)  5 Cd 2.96-3.11, 6 Ag 3.00-3.01, 1 Mg 3.05
Ag (0.2358, 0.1885, 0.7500)  5 Cd 2.96-3.11, 6 Ag 3.00-3.01, 1 Mg 3.05
Ag (0.7642, 0.8115, 0.2500)  5 Cd 2.96-3.11, 6 Ag 3.00-3.01, 1 Mg 3.05
Ag (0.8115, 0.0473, 0.7500)  5 Cd 2.96-3.11, 6 Ag 3.00-3.01, 1 Mg 3.05
Ag (0.9527, 0.7642, 0.7500)  5 Cd 2.96-3.11, 6 Ag 3.00-3.01, 1 Mg 3.05

Summary:
**Excess energy over the best structure of this formula in the dataset**: 0 meV per atom

[3]
An optimized crystal structure of MgCdAg6. Source: Alexandria, functional GGA-PBE.

Cell: 5.9667 5.9667 4.1049 Å, 90.00 90.00 90.00°
Closest atoms and distances in Å follow each position.
Element x y z (fractional)
Mg (0.0000, 0.0000, 0.0000)  12 Ag 2.92-2.98
Cd (0.5000, 0.5000, 0.0000)  12 Ag 2.97-2.98
Ag (0.0000, 0.5000, 0.0000)  8 Ag 2.94, 2 Cd 2.98, 2 Mg 2.98
Ag (0.2463, 0.2463, 0.5000)  2 Mg 2.92, 8 Ag 2.94-3.03, 2 Cd 2.97
Ag (0.2463, 0.7537, 0.5000)  2 Mg 2.92, 8 Ag 2.94-3.03, 2 Cd 2.97
Ag (0.5000, 0.0000, 0.0000)  8 Ag 2.94, 2 Cd 2.98, 2 Mg 2.98
Ag (0.7537, 0.2463, 0.5000)  2 Mg 2.92, 8 Ag 2.94-3.03, 2 Cd 2.97
Ag (0.7537, 0.7537, 0.5000)  2 Mg 2.92, 8 Ag 2.94-3.03, 2 Cd 2.97

Summary:
**Excess energy over the best structure of this formula in the dataset**: 0 meV per atom

[4]
An optimized crystal structure of Mg3Cd2Ag6. Source: Alexandria, functional GGA-PBE.

Cell: 4.7768 7.1925 7.3718 Å, 107.61 108.08 106.53°
Closest atoms and distances in Å follow each position.
Element x y z (fractional)
Mg (0.0000, 0.0000, 0.0000)  6 Ag 2.82-2.89, 2 Mg 3.02
Mg (0.3029, 0.4759, 0.1212)  5 Ag 2.82-3.11, 3 Mg 2.99-3.07, 1 Cd 3.14
Mg (0.6971, 0.5241, 0.8788)  5 Ag 2.82-3.11, 3 Mg 2.99-3.07, 1 Cd 3.14
Cd (0.0832, 0.8166, 0.3664)  7 Ag 2.89-2.98, 2 Mg 3.14-3.21, 1 Cd 3.24
Cd (0.9168, 0.1834, 0.6336)  7 Ag 2.89-2.98, 2 Mg 3.14-3.21, 1 Cd 3.24
Ag (0.1729, 0.6364, 0.7330)  2 Mg 2.82-2.84, 5 Ag 2.85-2.99, 1 Cd 2.89
Ag (0.3662, 0.2688, 0.4369)  3 Mg 2.82-3.11, 3 Ag 2.86-2.92, 3 Cd 2.91-2.97
Ag (0.4614, 0.0915, 0.8262)  3 Mg 2.85-2.89, 3 Ag 2.85-3.19, 3 Cd 2.91-2.98
Ag (0.5386, 0.9085, 0.1738)  3 Mg 2.85-2.89, 3 Ag 2.85-3.19, 3 Cd 2.91-2.98
Ag (0.6338, 0.7312, 0.5631)  3 Mg 2.82-3.11, 3 Ag 2.86-2.92, 3 Cd 2.91-2.97
Ag (0.8271, 0.3636, 0.2670)  2 Mg 2.82-2.84, 5 Ag 2.85-2.99, 1 Cd 2.89

[5]
An optimized crystal structure of Mg4CdAg2. Source: Alexandria, functional GGA-PBE.

Cell: 9.7249 9.7249 9.7249 Å, 26.92 26.92 26.92°
Closest atoms and distances in Å follow each position.
Element x y z (fractional)
Mg (0.1098, 0.1098, 0.1098)  3 Ag 2.87, 3 Cd 3.06
Mg (0.3002, 0.3002, 0.3002)  4 Ag 2.79-2.83
Mg (0.6998, 0.6998, 0.6998)  4 Ag 2.79-2.83
Mg (0.8902, 0.8902, 0.8902)  3 Ag 2.87, 3 Cd 3.06
Cd (0.5000, 0.5000, 0.5000)  2 Ag 2.78, 6 Mg 3.06
Ag (0.4009, 0.4009, 0.4009)  1 Cd 2.78, 7 Mg 2.79-2.87
Ag (0.5991, 0.5991, 0.5991)  1 Cd 2.78, 7 Mg 2.79-2.87

Summary:
**Excess energy over the best structure of this formula in the dataset**: 125 meV per atom

[6]
An optimized crystal structure of Mg3CdAg6. Source: Alexandria, functional GGA-PBE.

Cell: 7.3055 7.3055 7.3055 Å, 89.25 89.25 89.25°
Closest atoms and distances in Å follow each position.
Element x y z (fractional)
Mg (0.2109, 0.7661, 0.6400)  4 Ag 2.69-2.98
Mg (0.2339, 0.3600, 0.7891)  4 Ag 2.69-2.98
Mg (0.3600, 0.7891, 0.2339)  4 Ag 2.69-2.98
Mg (0.6400, 0.2109, 0.7661)  4 Ag 2.69-2.98
Mg (0.7661, 0.6400, 0.2109)  4 Ag 2.69-2.98
Mg (0.7891, 0.2339, 0.3600)  4 Ag 2.69-2.98
Cd (0.0000, 0.0000, 0.0000)  6 Ag 2.76
Cd (0.5000, 0.5000, 0.5000)  6 Ag 2.97, 6 Mg 3.03
Ag (0.0011, 0.8756, 0.3586)  3 Mg 2.69-2.83, 1 Cd 2.76, 2 Ag 2.77-2.90
Ag (0.1244, 0.6414, 0.9989)  3 Mg 2.69-2.83, 1 Cd 2.76, 2 Ag 2.77-2.90
Ag (0.1261, 0.4589, 0.3534)  5 Ag 2.87-3.17, 1 Cd 2.97, 4 Mg 2.98-3.16
Ag (0.3534, 0.1261, 0.4589)  5 Ag 2.87-3.17, 1 Cd 2.97, 4 Mg 2.98-3.16
Ag (0.3586, 0.0011, 0.8756)  3 Mg 2.69-2.83, 1 Cd 2.76, 2 Ag 2.77-2.90
Ag (0.4589, 0.3534, 0.1261)  5 Ag 2.87-3.17, 1 Cd 2.97, 4 Mg 2.98-3.16
Ag (0.5411, 0.6466, 0.8739)  5 Ag 2.87-3.17, 1 Cd 2.97, 4 Mg 2.98-3.16
Ag (0.6414, 0.9989, 0.1244)  3 Mg 2.69-2.83, 1 Cd 2.76, 2 Ag 2.77-2.90
Ag (0.6466, 0.8739, 0.5411)  5 Ag 2.87-3.17, 1 Cd 2.97, 4 Mg 2.98-3.16
Ag (0.8739, 0.5411, 0.6466)  5 Ag 2.87-3.17, 1 Cd 2.97, 4 Mg 2.98-3.16
Ag (0.8756, 0.3586, 0.0011)  3 Mg 2.69-2.83, 1 Cd 2.76, 2 Ag 2.77-2.90
Ag (0.9989, 0.1244, 0.6414)  3 Mg 2.69-2.83, 1 Cd 2.76, 2 Ag 2.77-2.90

Summary:
**Excess energy over the best structure of this formula in the dataset**: 91 meV per atom

| no. | electronic total energy (eV/atom) | calculated formation energy (eV/atom) |
| --- | --- | --- |
| 1 | -2.071 | -0.17 |
| 2 | -1.914 | -0.07 |
| 3 | -2.549 | -0.10 |
| 4 | -2.270 | -0.11 |
| 5 | -1.869 | -0.01 |
| 6 | -2.348 | -0.07 |